(1)
Crystalline PmDy3Er4 at its relaxed geometry, computed with PBE. Values from VASP.

```
&SYSTEM
  ibrav = 0, nat = 16, ntyp = 3
/
ATOMIC_SPECIES
Er 167.26 Er.upf
Dy 162.50 Dy.upf
Pm 145.00 Pm.upf
CELL_PARAMETERS angstrom
-2.4838 5.4789 1.7151
-3.3490 -3.2507 5.5341
8.8931 1.9824 6.5462
ATOMIC_POSITIONS angstrom
Er 3.8094 6.4574 7.2665
Er 2.4242 4.1398 5.0670
Dy 4.2249 2.9099 7.8000
Dy -0.2215 1.9188 4.5270
Er -2.0233 3.1527 1.7939
Er -1.9181 0.2780 7.3046
Er -3.3032 -2.0394 5.1050
Dy -3.7059 1.5097 4.5774
Dy 2.1336 4.8248 10.0615
Dy -2.3131 3.8336 6.7882
Pm 0.7412 2.5040 7.8488
Er 1.1412 -1.0455 8.3802
Er -0.6151 5.4712 4.0096
Er 2.5506 1.2742 10.5940
Pm -1.6187 -0.4068 2.3222
Dy 2.8300 0.5840 5.5926
```

**ΔE to the lowest computed polymorph**: 0.000 eV/atom
**Density**: 8.508 g cm⁻³
**Total magnetization**: 0.00 μB/f.u.
**ΔH_f (0 K)**: 0.008 eV per atom

---

(2)
Crystalline Pm8Dy6Er at its relaxed geometry, computed with PBE. Values from VASP.

```
&SYSTEM
  ibrav = 0, nat = 15, ntyp = 3
/
ATOMIC_SPECIES
Pm 145.00 Pm.upf
Dy 162.50 Dy.upf
Er 167.26 Er.upf
CELL_PARAMETERS angstrom
-0.0663 0.9389 6.4940
-3.7425 -8.5459 1.1974
9.3440 1.0758 -0.0602
ATOMIC_POSITIONS angstrom
Pm 4.9235 -1.3045 6.0778
Dy 3.7108 0.0053 2.3019
Pm 4.2728 -4.5218 6.2264
Pm -2.4940 -6.2130 1.9743
Pm 0.6118 -5.2266 1.5534
Pm 8.0293 -0.3181 5.6569
Dy -1.6387 -4.8848 5.0552
Dy 3.9929 -3.7910 2.8536
Er -0.0331 0.4695 3.2470
Pm 3.0577 -7.3257 2.1918
Dy 1.5424 -2.7400 4.7776
Dy 7.1739 -1.6463 2.5760
Pm 1.2624 -2.0093 1.4048
Pm 2.4776 0.7946 5.4394
Dy 1.8245 -6.5364 5.3293
```

**ΔE to the lowest computed polymorph**: 0.051 eV/atom
**Density**: 7.604 g cm⁻³
**Total magnetization**: 0.00 μB/f.u.
**ΔH_f (0 K)**: 0.174 eV per atom

---

(3)
Crystalline PmDy4Er5 at its relaxed geometry, computed with PBE. Values from VASP.

```
&SYSTEM
  ibrav = 0, nat = 10, ntyp = 3
/
ATOMIC_SPECIES
Dy 162.50 Dy.upf
Er 167.26 Er.upf
Pm 145.00 Pm.upf
CELL_PARAMETERS angstrom
6.2531 0.0000 0.0000
3.1266 7.1846 0.0000
3.1266 0.0000 7.1846
ATOMIC_POSITIONS angstrom
Dy 2.8316 2.1501 2.8656
Dy 9.0847 5.0344 4.3190
Er 2.8089 4.4692 0.6327
Er 9.0620 2.7154 6.5518
Pm 1.3898 0.0000 0.0000
Dy 5.9582 4.3190 2.1501
Er 5.9354 0.6327 2.7154
Er 5.9354 6.5518 4.4692
Er 4.2518 0.0000 0.0000
Dy 5.9582 2.8656 5.0344
```

**ΔE to the lowest computed polymorph**: 0.245 eV/atom
**Density**: 8.392 g cm⁻³
**Total magnetization**: 0.00 μB/f.u.
**ΔH_f (0 K)**: 0.305 eV per atom

---

(4)
Crystalline PmDy7Er5 at its relaxed geometry, computed with PBE. Values from VASP.

```
&SYSTEM
  ibrav = 0, nat = 13, ntyp = 3
/
ATOMIC_SPECIES
Er 167.26 Er.upf
Dy 162.50 Dy.upf
Pm 145.00 Pm.upf
CELL_PARAMETERS angstrom
6.6714 0.0000 0.0000
3.3357 7.9750 0.1740
3.3357 0.1483 7.9755
ATOMIC_POSITIONS angstrom
Er 8.2293 4.4488 8.0497
Dy 6.6714 2.2022 2.2093
Er 11.7851 8.0353 4.4748
Dy 6.6714 1.6390 6.7817
Dy 6.6714 6.7764 1.6609
Dy 3.3357 2.1889 2.1960
Dy 10.0072 2.8796 5.5722
Dy 10.0072 5.5629 2.8975
Er 10.0072 6.2329 6.2531
Pm 6.6714 7.8470 7.8724
Er 11.7851 4.4488 8.0497
Dy 6.6714 4.6891 4.7043
Er 8.2293 8.0353 4.4748
```

**Density**: 8.295 g cm⁻³
**Total magnetization**: 0.00 μB/f.u.
**ΔH_f (0 K)**: 0.250 eV per atom

---

(5)
Crystalline Pm3DyEr4 at its relaxed geometry, computed with PBE. Values from VASP.

```
&SYSTEM
  ibrav = 0, nat = 8, ntyp = 3
/
ATOMIC_SPECIES
Pm 145.00 Pm.upf
Dy 162.50 Dy.upf
Er 167.26 Er.upf
CELL_PARAMETERS angstrom
-1.3639 -3.2051 -0.9113
0.6044 -1.6967 5.0763
-12.9042 2.0581 5.0256
ATOMIC_POSITIONS angstrom
Pm -9.8198 -0.8990 3.6948
Dy 0.0000 0.0000 0.0000
Pm -3.8439 -1.9446 5.4958
Pm -0.3798 -2.4509 2.0825
Er -6.5599 -2.0752 2.9174
Er -7.1038 -0.7685 6.2732
Er -3.5823 -3.1457 2.2044
Er -10.0814 0.3021 6.9862
```

**Density**: 7.955 g cm⁻³
**Total magnetization**: 0.00 μB/f.u.
**ΔH_f (0 K)**: 0.201 eV per atom

---

(6)
Crystalline Pm16Dy6Er7 at its relaxed geometry, computed with PBE. Values from VASP.

```
&SYSTEM
  ibrav = 0, nat = 29, ntyp = 3
/
ATOMIC_SPECIES
Pm 145.00 Pm.upf
Er 167.26 Er.upf
Dy 162.50 Dy.upf
CELL_PARAMETERS angstrom
9.7322 0.0000 5.6189
3.2441 9.1756 5.6189
0.0000 0.0000 11.2378
ATOMIC_POSITIONS angstrom
Pm 4.5478 3.2158 7.8770
Er 1.6220 4.5878 2.8094
Er 1.6220 4.5878 8.4283
Pm 2.6074 5.9599 11.2378
Dy 7.9960 2.4554 8.6261
Pm 11.3577 8.0311 14.0413
Dy 9.5039 6.7203 11.2378
Er 4.8661 0.0000 8.4283
Pm 1.6186 1.1445 8.4343
Dy 4.9803 6.7203 8.6261
Er 0.0000 0.0000 0.0000
Pm 8.4285 5.9599 7.8770
Pm 8.4285 5.9599 14.5986
Er 6.4881 4.5878 5.6189
Dy 3.4724 2.4554 11.2378
Pm 4.5478 3.2158 14.5986
Pm 9.7322 3.4335 16.8567
Pm 3.2441 5.7421 5.6189
Pm 6.4881 8.7039 11.2378
Dy 4.9803 6.7203 13.8495
Pm 6.4813 8.0311 16.8567
Pm 6.4881 0.4717 11.2378
Er 4.8661 0.0000 2.8094
Pm 11.3577 8.0311 19.6721
Er 0.0000 0.0000 5.6189
Dy 7.9960 2.4554 13.8495
Pm 6.4950 1.1445 5.6189
Pm 10.3689 3.2158 11.2378
Pm 1.6186 1.1445 2.8035
```

**Density**: 7.390 g cm⁻³
**Total magnetization**: 0.00 μB/f.u.
**ΔH_f (0 K)**: 0.210 eV per atom

---

(7)
Crystalline Pm4DyEr5 at its relaxed geometry, computed with PBE. Values from VASP.

```
&SYSTEM
  ibrav = 0, nat = 10, ntyp = 3
/
ATOMIC_SPECIES
Er 167.26 Er.upf
Pm 145.00 Pm.upf
Dy 162.50 Dy.upf
CELL_PARAMETERS angstrom
5.9053 0.0000 0.0000
2.9527 7.5253 0.0000
2.9527 0.0000 7.5253
ATOMIC_POSITIONS angstrom
Er 8.5579 7.5234 2.8424
Er 5.6052 2.8424 0.0019
Pm 8.5830 5.0905 5.0925
Er 5.6052 4.6829 7.5234
Pm 5.6304 5.0925 2.4348
Dy 1.2508 0.0000 0.0000
Er 4.0629 0.0000 0.0000
Pm 2.6777 2.4348 2.4328
Pm 5.6304 2.4328 5.0905
Er 2.6526 0.0019 4.6829
```

**ΔE to the lowest computed polymorph**: 0.053 eV/atom
**Density**: 7.839 g cm⁻³
**Total magnetization**: 0.00 μB/f.u.
**ΔH_f (0 K)**: 0.245 eV per atom

---

(8)
Crystalline Pm2Dy9Er at its relaxed geometry, computed with PBE. Values from VASP.

```
&SYSTEM
  ibrav = 0, nat = 12, ntyp = 3
/
ATOMIC_SPECIES
Pm 145.00 Pm.upf
Dy 162.50 Dy.upf
Er 167.26 Er.upf
CELL_PARAMETERS angstrom
3.4885 0.0000 0.0000
0.0000 11.2447 0.0000
0.0000 -5.6223 9.7382
ATOMIC_POSITIONS angstrom
Pm 0.0000 5.6224 3.2461
Dy 0.0000 -2.8112 4.8691
Er 0.0000 0.0000 0.0000
Dy 1.7443 2.9264 1.6895
Dy 0.0000 5.6223 0.0000
Dy 1.7443 0.0000 3.3791
Dy 1.7443 2.6960 8.0486
Dy 1.7443 8.3183 1.6895
Dy 0.0000 2.8112 4.8691
Dy 1.7443 -2.6960 8.0486
Pm 0.0000 0.0000 6.4921
Dy 1.7443 5.6223 6.3591
```

**ΔE to the lowest computed polymorph**: 0.044 eV/atom
**Density**: 8.345 g cm⁻³
**Total magnetization**: 0.00 μB/f.u.
**ΔH_f (0 K)**: 0.065 eV per atom

---

(9)
Crystalline Pm2Dy9Er3 at its relaxed geometry, computed with PBE. Values from VASP.

```
&SYSTEM
  ibrav = 0, nat = 14, ntyp = 3
/
ATOMIC_SPECIES
Dy 162.50 Dy.upf
Pm 145.00 Pm.upf
Er 167.26 Er.upf
CELL_PARAMETERS angstrom
-0.4429 -0.9581 5.1888
1.3410 -8.7165 1.2067
11.2787 -7.0372 2.3652
ATOMIC_POSITIONS angstrom
Dy 4.8449 -4.7262 2.2427
Dy 1.5553 -5.2851 1.8586
Dy 6.5201 -6.4541 4.7683
Pm 3.3541 -7.4989 4.3052
Er 11.2786 -7.0372 2.3651
Dy 11.2896 -14.5945 6.3741
Dy 10.6215 -11.4268 6.9020
Dy 5.6567 -10.2577 3.9923
Er 9.5301 -12.9832 3.8197
Dy 7.3318 -11.9856 6.5180
Pm 8.8227 -9.2130 4.4555
Dy 0.8871 -2.1173 2.3865
Dy 6.3098 -7.8769 1.7859
Er 2.6467 -3.7286 4.9409
```

**Density**: 8.200 g cm⁻³
**Total magnetization**: 0.00 μB/f.u.
**ΔH_f (0 K)**: 0.146 eV per atom

---

(10)
Crystalline PmDy12Er5 at its relaxed geometry, computed with PBE. Values from VASP.

```
&SYSTEM
  ibrav = 0, nat = 18, ntyp = 3
/
ATOMIC_SPECIES
Dy 162.50 Dy.upf
Er 167.26 Er.upf
Pm 145.00 Pm.upf
CELL_PARAMETERS angstrom
-3.2717 -14.2535 -3.3112
5.5472 -8.3545 -3.4680
0.9664 -1.3192 4.7238
ATOMIC_POSITIONS angstrom
Dy -0.1265 -6.0803 3.6175
Dy -0.4469 -18.3642 0.2526
Dy 3.5623 -11.6431 1.3094
Dy -0.3204 -12.2842 -3.3649
Er -1.1527 -7.7864 0.7063
Dy -2.1788 -9.4925 -2.2049
Dy 2.5484 -13.3675 -1.6097
Dy 3.6888 -5.5631 -2.3081
Dy 1.7791 -5.8296 0.6528
Er 1.5209 -15.0727 -4.5205
Er 0.7546 -7.5354 -2.2588
Dy -0.0650 -3.0476 1.8069
Er -0.3766 -15.3254 -1.5579
Dy -2.2403 -12.5252 -0.3944
Pm 0.0000 -0.0001 0.0000
Dy 1.4628 -18.0976 -2.7083
Er 3.6185 -8.6019 -0.4975
Dy 0.6934 -10.5597 -0.4458
```

**Density**: 8.648 g cm⁻³
**Total magnetization**: 0.00 μB/f.u.
**ΔH_f (0 K)**: 0.020 eV per atom

---

(11)
Crystalline Pm3Dy7Er2 at its relaxed geometry, computed with PBE. Values from VASP.

```
&SYSTEM
  ibrav = 0, nat = 12, ntyp = 3
/
ATOMIC_SPECIES
Dy 162.50 Dy.upf
Pm 145.00 Pm.upf
Er 167.26 Er.upf
CELL_PARAMETERS angstrom
-0.4697 -4.9543 -2.5912
-1.8961 -2.5542 5.2271
-11.1950 2.9485 -3.6077
ATOMIC_POSITIONS angstrom
Dy -11.3212 -2.3256 0.4244
Pm -1.1829 -3.7543 1.3179
Dy -5.6500 -1.7623 -1.6807
Dy -10.7164 -3.9426 -2.6680
Pm -7.6000 1.8813 -2.2191
Er -4.6282 -3.2555 0.9889
Pm -5.4911 -1.4871 3.8385
Er -8.9327 -1.3046 -1.9607
Dy -2.2396 -2.2344 -1.3963
Dy -2.8444 -0.6175 1.6961
Dy -7.9108 -2.7978 0.7088
Dy 0.0000 0.0000 0.0000
```

**ΔE to the lowest computed polymorph**: 0.212 eV/atom
**Density**: 7.625 g cm⁻³
**Total magnetization**: 0.00 μB/f.u.
**ΔH_f (0 K)**: 0.299 eV per atom

---

(12)
Crystalline Pm3Dy4Er3 at its relaxed geometry, computed with PBE. Values from VASP.

```
&SYSTEM
  ibrav = 0, nat = 10, ntyp = 3
/
ATOMIC_SPECIES
Er 167.26 Er.upf
Pm 145.00 Pm.upf
Dy 162.50 Dy.upf
CELL_PARAMETERS angstrom
3.6887 0.0000 0.0000
0.0000 9.3845 -0.0643
0.0000 0.0182 9.3847
ATOMIC_POSITIONS angstrom
Er 0.0000 4.6615 9.3341
Pm 1.8444 3.0673 3.0521
Pm 1.8444 6.3237 6.2800
Dy 0.0000 8.2430 8.1275
Dy 0.0000 1.2030 1.1491
Er 1.8444 1.6412 7.7474
Dy 0.0000 5.8864 3.4646
Pm 1.8444 7.7698 1.5646
Dy 0.0000 3.5064 5.8657
Er 0.0000 0.0280 4.7411
```

**Density**: 8.111 g cm⁻³
**Total magnetization**: 0.00 μB/f.u.
**ΔH_f (0 K)**: 0.100 eV per atom